Entry from Alexandria via LeMat-Bulk: crystalline TaPRh at its relaxed geometry (PBEsol).

The space group is F-43m (No. 216) and the conventional cell measures 5.892, 5.892 and 5.892 Å, with angles of 90.00, 90.00 and 90.00 degrees. The asymmetric unit holds Ta at (0.000, 0.000, 0.000), P at (0.250, 0.250, 0.250) and Rh at (0.250, 0.250, 0.750).

The crystal system is cubic. As for the total energy: -8.999 eV per atom. Its formation energy is -16.6 kJ/mol of atoms.

=====

Entry from Alexandria via LeMat-Bulk: crystalline BaHgPt at its relaxed geometry (PBEsol).

The space group is F-43m (No. 216) and the conventional cell measures 7.075, 7.075 and 7.075 Å, with angles of 90.00, 90.00 and 90.00 degrees. The asymmetric unit holds Ba at (0.000, 0.000, 0.000), Hg at (0.000, 0.000, 0.500) and Pt at (0.250, 0.250, 0.250).

The crystal system is cubic. As for the total energy: -3.677 eV per atom. Its formation energy is -43.5 kJ/mol of atoms.

=====

Entry from Alexandria via LeMat-Bulk: crystalline Li2POs at its relaxed geometry (PBEsol).

The space group is P2/m (No. 10) and the conventional cell measures 2.768, 4.290 and 4.519 Å, with angles of 90.00, 106.97 and 90.00 degrees. The asymmetric unit holds Li at (0.098, 0.000, 0.252), P at (0.500, 0.500, 0.500) and Os at (0.500, 0.500, 0.000).

The crystal system is monoclinic. As for the total energy: -5.588 eV per atom. Its formation energy is -9.9 kJ/mol of atoms.